a.
A plane-wave DFT calculation with GGA-PBE was carried out for a relaxed Cu2SiBi crystal.

Summary:
N(E_F), states/eV per cell: 1.9
Total moment, μB/cell: 0.00
SG: Fm-3m, No. 225

Unit cell a=4.662 b=4.662 c=4.662 alpha=60.00 beta=60.00 gamma=60.00
Fractional positions:
Cu 0.250 0.250 0.250
Cu 0.750 0.750 0.750
Si 0.000 0.000 0.000
Bi 0.500 0.500 0.500

***

b.
A plane-wave DFT calculation with GGA-PBE was carried out for a relaxed Cu2SiBi crystal.

Summary:
N(E_F), states/eV per cell: 3.2
Total moment, μB/cell: 0.00
SG: I-42d, No. 122

Unit cell a=8.458 b=8.458 c=8.458 alpha=149.41 beta=149.41 gamma=43.81
Fractional positions:
Cu 0.002 0.625 0.877
Cu 0.375 0.252 0.377
Cu 0.748 0.125 0.123
Cu 0.875 0.998 0.623
Si 0.000 0.000 0.000
Si 0.750 0.250 0.500
Bi 0.250 0.750 0.500
Bi 0.500 0.500 0.000

***

Verdict on stability: b comes out on top.

***

a.
A plane-wave DFT calculation with GGA-PBE was carried out for a relaxed CuSiBi3 crystal.

Summary:
N(E_F), states/eV per cell: 3.3
Total moment, μB/cell: 0.00
SG: Pm-3m, No. 221

Unit cell a=5.401 b=5.401 c=5.401 alpha=90.00 beta=90.00 gamma=90.00
Fractional positions:
Cu 0.000 0.000 0.000
Si 0.500 0.500 0.500
Bi 0.000 0.500 0.500
Bi 0.500 0.000 0.500
Bi 0.500 0.500 0.000

***

b.
A plane-wave DFT calculation with GGA-PBE was carried out for a relaxed CuSiBi3 crystal.

Summary:
N(E_F), states/eV per cell: 4.0
Total moment, μB/cell: 0.00
SG: Pm-3m, No. 221

Unit cell a=5.238 b=5.238 c=5.238 alpha=90.00 beta=90.00 gamma=90.00
Fractional positions:
Cu 0.000 0.000 0.000
Si 0.500 0.500 0.500
Bi 0.000 0.000 0.500
Bi 0.000 0.500 0.000
Bi 0.500 0.000 0.000

***

Verdict on stability: b comes out on top.

***

a.
A plane-wave DFT calculation with GGA-PBE was carried out for a relaxed CuSn2Bi2 crystal.

Summary:
N(E_F), states/eV per cell: 5.7
Total moment, μB/cell: 0.00
SG: P4/mbm, No. 127

Unit cell a=6.843 b=6.843 c=5.953 alpha=90.00 beta=90.00 gamma=90.00
Fractional positions:
Cu 0.000 0.000 0.000
Cu 0.500 0.500 0.000
Sn 0.153 0.347 0.000
Sn 0.347 0.847 0.000
Sn 0.653 0.153 0.000
Sn 0.847 0.653 0.000
Bi 0.236 0.736 0.500
Bi 0.264 0.236 0.500
Bi 0.736 0.764 0.500
Bi 0.764 0.264 0.500

***

b.
A plane-wave DFT calculation with GGA-PBE was carried out for a relaxed CuSn2Bi2 crystal.

Summary:
N(E_F), states/eV per cell: 5.2
Total moment, μB/cell: 0.00
SG: P4/mbm, No. 127

Unit cell a=7.001 b=7.001 c=5.989 alpha=90.00 beta=90.00 gamma=90.00
Fractional positions:
Cu 0.000 0.000 0.000
Cu 0.500 0.500 0.000
Sn 0.226 0.274 0.500
Sn 0.274 0.774 0.500
Sn 0.726 0.226 0.500
Sn 0.774 0.726 0.500
Bi 0.155 0.655 0.000
Bi 0.345 0.155 0.000
Bi 0.655 0.845 0.000
Bi 0.845 0.345 0.000

***

Verdict on stability: a comes out on top.

***

a.
A plane-wave DFT calculation with GGA-PBE was carried out for a relaxed Sr3CuBi crystal.

Summary:
N(E_F), states/eV per cell: 6.8
Total moment, μB/cell: 0.00
SG: P1, No. 1

Unit cell a=4.538 b=9.169 c=9.279 alpha=91.43 beta=90.00 gamma=104.31
Fractional positions:
Sr 0.000 0.000 0.000
Sr 0.089 0.178 0.360
Sr 0.291 0.582 0.988
Sr 0.434 0.870 0.621
Sr 0.654 0.309 0.740
Sr 0.798 0.596 0.373
Cu 0.265 0.534 0.640
Cu 0.821 0.646 0.722
Bi 0.433 0.866 0.254
Bi 0.656 0.312 0.107

***

b.
A plane-wave DFT calculation with GGA-PBE was carried out for a relaxed Sr3CuBi crystal.

Summary:
N(E_F), states/eV per cell: 5.8
Total moment, μB/cell: 0.00
SG: Pm-3m, No. 221

Unit cell a=5.779 b=5.779 c=5.779 alpha=90.00 beta=90.00 gamma=90.00
Fractional positions:
Sr 0.000 0.000 0.500
Sr 0.000 0.500 0.000
Sr 0.500 0.000 0.000
Cu 0.000 0.000 0.000
Bi 0.500 0.500 0.500

***

Verdict on stability: a comes out on top.

***

a.
A plane-wave DFT calculation with GGA-PBE was carried out for a relaxed SrCuBi3 crystal.

Summary:
N(E_F), states/eV per cell: 2.4
Total moment, μB/cell: 0.00
SG: Pm-3m, No. 221

Unit cell a=6.084 b=6.084 c=6.084 alpha=90.00 beta=90.00 gamma=90.00
Fractional positions:
Sr 0.000 0.000 0.000
Cu 0.500 0.500 0.500
Bi 0.000 0.000 0.500
Bi 0.000 0.500 0.000
Bi 0.500 0.000 0.000

***

b.
A plane-wave DFT calculation with GGA-PBE was carried out for a relaxed SrCuBi3 crystal.

Summary:
N(E_F), states/eV per cell: 3.2
Total moment, μB/cell: 0.00
SG: Pm-3m, No. 221

Unit cell a=5.403 b=5.403 c=5.403 alpha=90.00 beta=90.00 gamma=90.00
Fractional positions:
Sr 0.000 0.000 0.000
Cu 0.500 0.500 0.500
Bi 0.000 0.500 0.500
Bi 0.500 0.000 0.500
Bi 0.500 0.500 0.000

***

Verdict on stability: b comes out on top.

***

a.
A plane-wave DFT calculation with GGA-PBE was carried out for a relaxed SrCu3Bi crystal.

Summary:
N(E_F), states/eV per cell: 3.0
Total moment, μB/cell: 0.00
SG: Pm-3m, No. 221

Unit cell a=5.107 b=5.107 c=5.107 alpha=90.00 beta=90.00 gamma=90.00
Fractional positions:
Sr 0.000 0.000 0.000
Cu 0.000 0.500 0.500
Cu 0.500 0.000 0.500
Cu 0.500 0.500 0.000
Bi 0.500 0.500 0.500

***

b.
A plane-wave DFT calculation with GGA-PBE was carried out for a relaxed SrCu3Bi crystal.

Summary:
N(E_F), states/eV per cell: 3.2
Total moment, μB/cell: 0.00
SG: Pm-3m, No. 221

Unit cell a=5.191 b=5.191 c=5.191 alpha=90.00 beta=90.00 gamma=90.00
Fractional positions:
Sr 0.000 0.000 0.000
Cu 0.000 0.000 0.500
Cu 0.000 0.500 0.000
Cu 0.500 0.000 0.000
Bi 0.500 0.500 0.500

***

Verdict on stability: a comes out on top.

***

a.
A plane-wave DFT calculation with GGA-PBE was carried out for a relaxed Sr2Cu2Bi crystal.

Summary:
N(E_F), states/eV per cell: 3.0
Total moment, μB/cell: 0.00
SG: I4/mmm, No. 139

Unit cell a=10.201 b=10.201 c=10.201 alpha=159.06 beta=159.06 gamma=29.78
Fractional positions:
Sr 0.120 0.120 0.000
Sr 0.880 0.880 0.000
Cu 0.250 0.750 0.500
Cu 0.750 0.250 0.500
Bi 0.500 0.500 0.000

***

b.
A plane-wave DFT calculation with GGA-PBE was carried out for a relaxed Sr2Cu2Bi crystal.

Summary:
N(E_F), states/eV per cell: 3.9
Total moment, μB/cell: 0.00
SG: P4/mbm, No. 127

Unit cell a=7.711 b=7.711 c=4.539 alpha=90.00 beta=90.00 gamma=90.00
Fractional positions:
Sr 0.186 0.314 0.000
Sr 0.314 0.814 0.000
Sr 0.686 0.186 0.000
Sr 0.814 0.686 0.000
Cu 0.110 0.610 0.500
Cu 0.390 0.110 0.500
Cu 0.610 0.890 0.500
Cu 0.890 0.390 0.500
Bi 0.000 0.000 0.500
Bi 0.500 0.500 0.500

***

Verdict on stability: b comes out on top.

***

a.
A plane-wave DFT calculation with GGA-PBE was carried out for a relaxed TaCuBi3 crystal.

Summary:
N(E_F), states/eV per cell: 3.5
Total moment, μB/cell: 0.00
SG: Pm-3m, No. 221

Unit cell a=5.472 b=5.472 c=5.472 alpha=90.00 beta=90.00 gamma=90.00
Fractional positions:
Ta 0.000 0.000 0.000
Cu 0.500 0.500 0.500
Bi 0.000 0.000 0.500
Bi 0.000 0.500 0.000
Bi 0.500 0.000 0.000

***

b.
A plane-wave DFT calculation with GGA-PBE was carried out for a relaxed TaCuBi3 crystal.

Summary:
N(E_F), states/eV per cell: 4.4
Total moment, μB/cell: 2.34
SG: Pm-3m, No. 221

Unit cell a=5.172 b=5.172 c=5.172 alpha=90.00 beta=90.00 gamma=90.00
Fractional positions:
Ta 0.000 0.000 0.000
Cu 0.500 0.500 0.500
Bi 0.000 0.500 0.500
Bi 0.500 0.000 0.500
Bi 0.500 0.500 0.000

***

Verdict on stability: a comes out on top.